Entry 1:
Ho3ThAg2: relaxed, PBE-GGA.

abc: 3.6120 3.6120 12.0780
angles: 90.00 90.00 90.00
With the nearest neighbours (Å) after each atom.
Space group P4/mmm (No. 123)
Symmetry-distinct sites (fractional):
Ho (0.0000, 0.0000, 0.0000) (multiplicity 1)  8 Ag 3.13
Ho (0.0000, 0.0000, 0.3016) (multiplicity 2)  4 Ag 3.14, 4 Th 3.50
Th (0.5000, 0.5000, 0.5000) (multiplicity 1)  8 Ho 3.50, 4 Th 3.61
Ag (0.5000, 0.5000, 0.1500) (multiplicity 2)  8 Ho 3.13-3.14

Properties
* DOS(E_F): 6.71 states/eV per cell
* ΔH_f (0 K): -0.207 eV per atom
* theoretical density: 9.93 g/cm³
* V: 26.26 Å³/atom
* size of the total moment: 0.000 Bohr magnetons per cell

=====

Entry 2:
AcNdAsCl: relaxed, PBE-GGA.

abc: 7.4707 7.4707 7.4707
angles: 90.00 90.00 90.00
With the nearest neighbours (Å) after each atom.
Space group F-43m (No. 216)
Symmetry-distinct sites (fractional):
Ac (0.0000, 0.0000, 0.0000) (multiplicity 4)  4 Cl 3.23, 4 As 3.23
Nd (0.0000, 0.0000, 0.5000) (multiplicity 4)  4 Cl 3.23, 4 As 3.23
As (0.2500, 0.2500, 0.2500) (multiplicity 4)  4 Ac 3.23, 4 Nd 3.23
Cl (0.2500, 0.2500, 0.7500) (multiplicity 4)  4 Ac 3.23, 4 Nd 3.23

Properties
* DOS(E_F): 12.65 states/eV per cell
* ΔE_f (raw): -1331 meV per atom
* theoretical density: 7.67 g/cm³
* V: 26.06 Å³/atom
* size of the total moment: 0.368 Bohr magnetons per cell

=====

Entry 3:
V2InGa: relaxed, PBE-GGA.

abc: 4.3028 4.3028 12.8070
angles: 90.00 90.00 120.00
With the nearest neighbours (Å) after each atom.
Space group R-3m (No. 166, hexagonal axes)
Symmetry-distinct sites (fractional):
V (0.0000, 0.0000, 0.2146) (multiplicity 6)  3 Ga 2.56, 1 In 2.75, 3 V 2.77
In (0.0000, 0.0000, 0.0000) (multiplicity 3)  8 V 2.75-2.91
Ga (0.0000, 0.0000, 0.5000) (multiplicity 3)  6 V 2.56

Properties
* DOS(E_F): 15.12 states/eV per cell
* relative energy among the computed polymorphs: 136 meV per atom
* ΔH_f (0 K): 0.229 eV per atom
* theoretical density: 6.95 g/cm³
* V: 17.11 Å³/atom
* size of the total moment: 0.000 Bohr magnetons per cell